Record 1
{
  "formula": "Pu2Si4PdPt3",
  "functional": "GGA-PBE",
  "state": "relaxed",
  "volume_a3_per_fu": 176,
  "m_tot_mub_per_cell": 10.80,
  "n_ef_per_ev_atom": 2.687,
  "final_energy_ev_per_atom": -8.2383,
  "formation_energy_uncorrected_mev_per_atom": -871,
  "cell": [[4.230, 0.000, 0.000], [0.000, 4.230, 0.000], [0.000, 0.000, 9.855]],
  "species": ["Si", "Si", "Pt", "Pu", "Pd", "Si", "Si", "Pt", "Pu", "Pt"],
  "fractional_positions": [[0.500, 0.000, 0.633], [0.000, 0.500, 0.367], [0.500, 0.000, 0.877], [0.500, 0.000, 0.245], [0.500, 0.500, 0.500], [0.000, 0.000, 0.000], [0.500, 0.500, 0.000], [0.000, 0.000, 0.500], [0.000, 0.500, 0.755], [0.000, 0.500, 0.123]]
}

---

Record 2
{
  "formula": "Pu2Si4Pd3Pt",
  "functional": "GGA-PBE",
  "state": "relaxed",
  "volume_a3_per_fu": 176,
  "m_tot_mub_per_cell": 10.81,
  "n_ef_per_ev_atom": 2.707,
  "final_energy_ev_per_atom": -7.9228,
  "formation_energy_uncorrected_mev_per_atom": -725,
  "cell": [[4.216, 0.000, 0.000], [0.000, 4.216, 0.000], [0.000, 0.000, 9.913]],
  "species": ["Si", "Pu", "Pt", "Pd", "Si", "Pd", "Si", "Pd", "Pu", "Si"],
  "fractional_positions": [[0.500, 0.000, 0.633], [0.000, 0.500, 0.756], [0.500, 0.500, 0.500], [0.000, 0.000, 0.500], [0.000, 0.000, 0.000], [0.000, 0.500, 0.124], [0.500, 0.500, 0.000], [0.500, 0.000, 0.876], [0.500, 0.000, 0.244], [0.000, 0.500, 0.367]]
}

---

Record 3
{
  "formula": "PuThPdPt",
  "functional": "GGA-PBE",
  "state": "relaxed",
  "volume_a3_per_fu": 95,
  "m_tot_mub_per_cell": 5.62,
  "formation_enthalpy_0k_mev_per_atom": -800,
  "n_ef_per_ev_atom": 3.296,
  "final_energy_ev_per_atom": -9.0462,
  "cell": [[3.907, 0.000, 0.000], [0.000, 4.457, 0.000], [-1.954, 0.000, 5.460]],
  "species": ["Pd", "Pt", "Pu", "Th"],
  "fractional_positions": [[0.591, 0.500, 0.181], [0.408, 0.000, 0.817], [0.864, 0.500, 0.727], [0.137, 0.000, 0.275]]
}

---

Record 4
{
  "formula": "PuThPdPt",
  "functional": "GGA-PBE",
  "state": "relaxed",
  "volume_a3_per_fu": 91,
  "m_tot_mub_per_cell": 5.79,
  "formation_enthalpy_0k_mev_per_atom": -727,
  "n_ef_per_ev_atom": 2.929,
  "final_energy_ev_per_atom": -8.9737,
  "cell": [[-0.292, 4.454, 2.377], [-0.502, 0.154, 5.029], [3.843, 1.587, 2.877]],
  "species": ["Pt", "Pu", "Pd", "Th"],
  "fractional_positions": [[0.750, 0.750, 0.750], [0.500, 0.500, 0.500], [0.250, 0.250, 0.250], [0.000, 0.000, 0.000]]
}

---

Record 5
{
  "formula": "PuTlPdPt",
  "functional": "GGA-PBE",
  "state": "relaxed",
  "volume_a3_per_fu": 83,
  "m_tot_mub_per_cell": 5.26,
  "formation_enthalpy_0k_mev_per_atom": -401,
  "n_ef_per_ev_atom": 2.826,
  "final_energy_ev_per_atom": -7.3840,
  "cell": [[-4.073, 2.581, -0.827], [-4.311, -1.645, 1.627], [-2.248, 2.276, 3.702]],
  "species": ["Pu", "Pd", "Tl", "Pt"],
  "fractional_positions": [[0.750, 0.750, 0.750], [0.000, 0.000, 0.000], [0.250, 0.250, 0.250], [0.500, 0.500, 0.500]]
}

---

Record 6
{
  "formula": "YPuPdPt",
  "functional": "GGA-PBE",
  "state": "relaxed",
  "volume_a3_per_fu": 87,
  "m_tot_mub_per_cell": 5.74,
  "formation_enthalpy_0k_mev_per_atom": -780,
  "n_ef_per_ev_atom": 3.086,
  "final_energy_ev_per_atom": -8.7877,
  "cell": [[4.974, 0.000, 0.000], [2.487, 4.308, 0.000], [2.487, 1.436, 4.062]],
  "species": ["Pt", "Y", "Pu", "Pd"],
  "fractional_positions": [[0.250, 0.250, 0.250], [0.500, 0.500, 0.500], [0.000, 0.000, 0.000], [0.750, 0.750, 0.750]]
}

---

Record 7
{
  "formula": "YPuPdPt",
  "functional": "GGA-PBE",
  "state": "relaxed",
  "volume_a3_per_fu": 91,
  "m_tot_mub_per_cell": 5.62,
  "formation_enthalpy_0k_mev_per_atom": -836,
  "n_ef_per_ev_atom": 3.430,
  "final_energy_ev_per_atom": -8.8437,
  "cell": [[3.788, 0.000, 0.000], [0.000, 4.462, 0.000], [-1.894, 0.000, 5.363]],
  "species": ["Pu", "Pd", "Pt", "Y"],
  "fractional_positions": [[0.861, 0.500, 0.722], [0.413, 0.000, 0.826], [0.588, 0.500, 0.175], [0.139, 0.000, 0.278]]
}

---

Record 8
{
  "formula": "PuZrPdPt",
  "functional": "GGA-PBE",
  "state": "relaxed",
  "volume_a3_per_fu": 81,
  "m_tot_mub_per_cell": 5.76,
  "formation_enthalpy_0k_mev_per_atom": -592,
  "n_ef_per_ev_atom": 2.838,
  "final_energy_ev_per_atom": -9.1205,
  "cell": [[-3.497, 3.009, -1.532], [-2.812, -1.257, -3.760], [-4.671, -1.131, 0.730]],
  "species": ["Pt", "Pu", "Zr", "Pd"],
  "fractional_positions": [[0.250, 0.250, 0.250], [0.000, 0.000, 0.000], [0.500, 0.500, 0.500], [0.750, 0.750, 0.750]]
}

---

Record 9
{
  "formula": "Rb3PdPt",
  "functional": "GGA-PBE",
  "state": "relaxed",
  "volume_a3_per_fu": 253,
  "m_tot_mub_per_cell": 0.97,
  "formation_enthalpy_0k_mev_per_atom": 426,
  "n_ef_per_ev_atom": 1.582,
  "final_energy_ev_per_atom": -2.4012,
  "cell": [[-4.655, 3.202, 2.849], [-3.940, -4.853, -0.982], [1.688, -2.496, 5.564]],
  "species": ["Pt", "Rb", "Rb", "Pd", "Rb"],
  "fractional_positions": [[0.000, 0.000, 0.000], [0.500, 0.000, 0.000], [0.000, 0.000, 0.500], [0.500, 0.500, 0.500], [0.000, 0.500, 0.000]]
}

---

Record 10
{
  "formula": "RbPdPt3",
  "functional": "GGA-PBE",
  "state": "relaxed",
  "volume_a3_per_fu": 123,
  "m_tot_mub_per_cell": 0.00,
  "formation_enthalpy_0k_mev_per_atom": 2334,
  "n_ef_per_ev_atom": 1.475,
  "final_energy_ev_per_atom": -2.5226,
  "cell": [[4.978, 0.000, 0.000], [0.000, 4.978, 0.000], [0.000, 0.000, 4.978]],
  "species": ["Pt", "Pt", "Rb", "Pd", "Pt"],
  "fractional_positions": [[0.000, 0.000, 0.500], [0.000, 0.500, 0.000], [0.000, 0.000, 0.000], [0.500, 0.500, 0.500], [0.500, 0.000, 0.000]]
}

---

Record 11
{
  "formula": "RbPdPt",
  "functional": "GGA-PBE",
  "state": "relaxed",
  "volume_a3_per_fu": 92,
  "m_tot_mub_per_cell": 0.00,
  "formation_enthalpy_0k_mev_per_atom": 181,
  "n_ef_per_ev_atom": 0.641,
  "final_energy_ev_per_atom": -3.8864,
  "cell": [[6.534, 0.000, 0.181], [0.000, 8.349, 0.000], [-1.853, 0.000, 6.703]],
  "species": ["Rb", "Rb", "Rb", "Pd", "Pd", "Pt", "Pd", "Pd", "Rb", "Pt", "Pt", "Pt"],
  "fractional_positions": [[0.207, 0.463, 0.323], [0.707, 0.037, 0.823], [0.793, 0.537, 0.677], [0.775, 0.192, 0.350], [0.725, 0.692, 0.150], [0.126, 0.109, 0.591], [0.225, 0.808, 0.650], [0.275, 0.308, 0.850], [0.293, 0.963, 0.177], [0.374, 0.609, 0.909], [0.874, 0.891, 0.409], [0.626, 0.391, 0.091]]
}

---

Record 12
{
  "formula": "Rb2PdPt2",
  "functional": "GGA-PBE",
  "state": "relaxed",
  "volume_a3_per_fu": 128,
  "m_tot_mub_per_cell": 0.00,
  "formation_enthalpy_0k_mev_per_atom": 101,
  "n_ef_per_ev_atom": 0.076,
  "final_energy_ev_per_atom": -3.7410,
  "cell": [[-3.924, 2.929, -4.692], [-5.449, -1.063, 3.894], [0.776, 4.937, 2.433]],
  "species": ["Rb", "Pt", "Rb", "Rb", "Pt", "Pt", "Rb", "Pd", "Pt", "Pd"],
  "fractional_positions": [[0.681, 0.819, 0.500], [0.368, 0.868, 0.000], [0.181, 0.681, 0.500], [0.319, 0.181, 0.500], [0.132, 0.368, 0.000], [0.868, 0.632, 0.000], [0.819, 0.319, 0.500], [0.500, 0.500, 0.000], [0.632, 0.132, 0.000], [0.000, 0.000, 0.000]]
}

---

Repeat the eighth record exactly.
{
  "formula": "PuZrPdPt",
  "functional": "GGA-PBE",
  "state": "relaxed",
  "volume_a3_per_fu": 81,
  "m_tot_mub_per_cell": 5.76,
  "formation_enthalpy_0k_mev_per_atom": -592,
  "n_ef_per_ev_atom": 2.838,
  "final_energy_ev_per_atom": -9.1205,
  "cell": [[-3.497, 3.009, -1.532], [-2.812, -1.257, -3.760], [-4.671, -1.131, 0.730]],
  "species": ["Pt", "Pu", "Zr", "Pd"],
  "fractional_positions": [[0.250, 0.250, 0.250], [0.000, 0.000, 0.000], [0.500, 0.500, 0.500], [0.750, 0.750, 0.750]]
}